# 1
Computed, not measured: a geometry-optimized Ca2LaTe structure at the PBE level of DFT.

Structure (POSCAR):
```
Ca2LaTe
1.0
9.757 0.000 0.000
0.000 9.757 0.000
4.878 4.878 3.312
Te Ca La
2 4 2
direct
0.250 0.750 0.500
0.500 0.500 0.000
0.875 0.807 0.750
0.375 0.443 0.750
0.193 0.625 0.250
0.557 0.125 0.250
0.000 0.000 0.000
0.750 0.250 0.500
```

## Properties
N(E_F), states/eV/cell: 13.4
Energy, eV per formula unit: -13.79
Raw formation energy, kJ per mole of atoms: -41.5
Total magnetization, μB per formula unit: 0.0

# 2
Computed, not measured: a geometry-optimized CsKNaI3 structure at the PBE level of DFT.

Structure (POSCAR):
```
CsKNaI3
1.0
-0.240 3.692 3.959
-2.526 -7.079 6.447
11.533 0.944 -0.181
I Na Cs K
6 2 2 2
direct
0.750 0.485 0.195
0.250 0.089 0.871
0.750 0.197 0.520
0.250 0.515 0.805
0.750 0.911 0.129
0.250 0.803 0.480
0.750 0.857 0.377
0.250 0.143 0.623
0.750 0.779 0.759
0.250 0.221 0.241
0.750 0.326 0.878
0.250 0.674 0.122
```

## Properties
N(E_F), states/eV/cell: 0.0
Energy, eV per formula unit: -16.28
Raw formation energy, kJ per mole of atoms: -134.4
Total magnetization, μB per formula unit: 0.0

# 3
Computed, not measured: a geometry-optimized CsNa4Hg4 structure at the PBE level of DFT.

Structure (POSCAR):
```
CsNa4Hg4
1.0
-5.475 2.648 -4.850
3.916 -2.957 -6.036
-5.217 -8.952 1.002
Na Hg Cs
8 8 2
direct
0.000 0.251 0.379
0.251 0.000 0.621
0.249 0.500 0.879
0.751 0.500 0.879
0.500 0.751 0.121
0.000 0.749 0.379
0.749 0.000 0.621
0.500 0.249 0.121
0.190 0.500 0.178
0.500 0.190 0.822
0.000 0.690 0.678
0.810 0.500 0.178
0.310 0.000 0.322
0.000 0.310 0.678
0.500 0.810 0.822
0.690 0.000 0.322
0.000 0.000 0.000
0.500 0.500 0.500
```

## Properties
N(E_F), states/eV/cell: 6.3
Energy, eV per formula unit: -9.10
Energy above the lowest structure with this stoichiometry, meV per atom: 0.0
E_form, eV per atom: -0.196
Total magnetization, μB per formula unit: 0.0